Pr12Ho7Tm: relaxed, PBE.

```
Pr12Ho7Tm
1.0
6.1758 3.5656 5.2477
-6.1758 3.5656 5.2477
0.0000 -7.1312 5.2477
Pr Ho Tm
12 7 1
Cartesian
-2.1349 -5.0230 6.6241 Pr
-5.4176 -0.6626 9.1189 Pr
-3.2863 0.9860 7.0221 Pr
-2.4970 -2.3530 8.7208 Pr
0.7892 -3.3390 7.0221 Pr
-3.2826 4.3604 6.6241 Pr
3.2826 -4.3604 9.1189 Pr
-0.7892 3.3390 8.7209 Pr
2.4970 2.3530 7.0221 Pr
3.2863 -0.9860 8.7209 Pr
5.4176 0.6626 6.6241 Pr
2.1349 5.0230 9.1189 Pr
0.0000 0.0000 0.0000 Ho
-1.4805 -1.4158 4.7504 Ho
-0.4859 1.9901 4.7504 Ho
1.9664 -0.5743 4.7504 Ho
-1.9664 0.5743 10.9925 Ho
0.4859 -1.9901 10.9925 Ho
1.4805 1.4158 10.9926 Ho
0.0000 0.0000 7.8715 Tm
```

Results
N(E_F), states/eV/cell: 37.79
Mass density, kg/m³: 7219
Energy of formation from the pure elements, kJ/mol of formula units: 436
Volume, Å³ per atom: 34.67
Space group: R-3
Energy relative to the lowest polymorph listed for this composition, meV per atom: 9.0

Pr9HoTm2: relaxed, PBE.

```
Pr9HoTm2
1.0
5.1731 0.0000 0.0000
0.0000 5.1731 0.0000
0.0000 0.0000 15.5158
Pr Ho Tm
9 1 2
Cartesian
0.0000 0.0000 0.0000 Pr
0.0000 0.0000 5.1787 Pr
0.0000 0.0000 10.3371 Pr
0.0000 2.5865 2.5956 Pr
0.0000 2.5865 7.7579 Pr
0.0000 2.5865 12.9201 Pr
2.5865 0.0000 2.5956 Pr
2.5865 0.0000 7.7579 Pr
2.5865 0.0000 12.9201 Pr
2.5865 2.5865 0.0000 Ho
2.5865 2.5865 5.1770 Tm
2.5865 2.5865 10.3387 Tm
```

Results
N(E_F), states/eV/cell: 18.60
Mass density, kg/m³: 7083
Energy of formation from the pure elements, kJ/mol of formula units: 16
Volume, Å³ per atom: 34.60
Space group: P4/mmm

PrHo2Tm2: relaxed, PBE.

```
PrHo2Tm2
1.0
3.4961 0.0000 0.0000
0.0000 2.8460 8.1639
0.0000 -2.8460 8.1639
Pr Ho Tm
1 2 2
Cartesian
0.0000 0.0000 0.0000 Pr
0.0000 0.0000 6.2271 Ho
1.7480 0.0000 9.3750 Ho
0.0000 0.0000 12.4396 Tm
1.7480 0.0000 3.1602 Tm
```

Results
N(E_F), states/eV/cell: 9.04
Mass density, kg/m³: 8265
Energy of formation from the pure elements, kJ/mol of formula units: 59
Volume, Å³ per atom: 32.49
Space group: Amm2
Energy relative to the lowest polymorph listed for this composition, meV per atom: 38.6

PrHoTm4: relaxed, PBE.

```
PrHoTm4
1.0
5.5973 -2.4871 0.0000
5.5973 2.4871 0.0000
-2.2234 0.0000 6.7064
Pr Ho Tm
1 1 4
Cartesian
0.0000 0.0000 0.0000 Pr
-1.1117 0.0000 3.3532 Ho
2.2330 0.0000 4.4543 Tm
3.3595 0.0000 1.1289 Tm
5.6116 0.0000 5.5776 Tm
6.7381 0.0000 2.2522 Tm
```

Results
N(E_F), states/eV/cell: 8.09
Mass density, kg/m³: 8729
Energy of formation from the pure elements, kJ/mol of formula units: 16
Volume, Å³ per atom: 31.12
Space group: C2/m
Energy relative to the lowest polymorph listed for this composition, meV per atom: 0.0

PrHo2Tm4: relaxed, PBE.

```
PrHo2Tm4
1.0
6.0123 0.0000 0.0000
2.5114 7.9441 0.0000
1.9084 -0.3668 9.2263
Pr Ho Tm
2 4 8
Cartesian
0.0000 0.0000 0.0000 Pr
2.6036 1.1538 2.4553 Pr
2.3340 4.3938 1.1417 Ho
3.1499 3.7408 4.5334 Ho
2.9125 0.1361 5.7798 Ho
5.2659 4.6925 7.0947 Ho
2.9825 6.9212 3.2920 Tm
5.0798 1.3488 8.3101 Tm
5.3789 6.1302 0.5872 Tm
6.1687 5.3159 3.8622 Tm
5.3690 2.8579 1.8110 Tm
6.0771 1.9138 5.0350 Tm
8.3332 6.3821 6.5499 Tm
8.1537 3.0109 7.7634 Tm
```

Results
N(E_F), states/eV/cell: 22.53
Mass density, kg/m³: 8640
Energy of formation from the pure elements, kJ/mol of formula units: 47
Volume, Å³ per atom: 31.48
Space group: P1
Energy relative to the lowest polymorph listed for this composition, meV per atom: 33.6

Pr3HoTm3: relaxed, PBE.

```
Pr3HoTm3
1.0
9.6298 0.0000 0.0000
-4.8149 8.3396 0.0000
0.0000 0.0000 5.7635
Pr Ho Tm
6 2 6
Cartesian
-0.6943 2.0467 1.4409 Pr
-2.6953 7.9175 1.4409 Pr
1.4253 1.6246 4.3226 Pr
3.3896 6.7150 1.4409 Pr
7.5102 0.4221 4.3226 Pr
5.5092 6.2930 4.3226 Pr
0.0000 5.5598 1.4409 Ho
4.8149 2.7799 4.3226 Ho
-1.3955 4.0117 4.3226 Tm
-0.6429 7.5423 4.3226 Tm
2.7765 3.2144 1.4409 Tm
2.0384 5.1252 4.3226 Tm
5.4578 0.7973 1.4409 Tm
6.2104 4.3279 1.4409 Tm
```

Results
N(E_F), states/eV/cell: 23.35
Mass density, kg/m³: 7852
Energy of formation from the pure elements, kJ/mol of formula units: 17
Volume, Å³ per atom: 33.06
Space group: P6_3/m
Energy relative to the lowest polymorph listed for this composition, meV per atom: 0.0

Pr3HoTm3: relaxed, PBE.

```
Pr3HoTm3
1.0
3.1047 1.7925 14.4542
-3.1047 1.7925 14.4542
0.0000 -3.5850 14.4542
Pr Ho Tm
6 2 6
Cartesian
-1.0253 -1.8057 20.0838 Pr
-2.0764 -0.0149 23.2788 Pr
-1.0511 1.7908 20.0838 Pr
1.0511 -1.7908 23.2788 Pr
2.0764 0.0149 20.0837 Pr
1.0253 1.8057 23.2788 Pr
0.0000 0.0000 14.4529 Ho
0.0000 0.0000 28.9096 Ho
-2.0707 0.0013 17.2182 Tm
-1.0365 -1.7927 26.1443 Tm
1.0342 -1.7939 17.2182 Tm
-1.0342 1.7939 26.1443 Tm
1.0365 1.7927 17.2182 Tm
2.0707 -0.0013 26.1443 Tm
```

Results
N(E_F), states/eV/cell: 23.29
Mass density, kg/m³: 7531
Energy of formation from the pure elements, kJ/mol of formula units: 122
Volume, Å³ per atom: 34.47
Space group: R-3
Energy relative to the lowest polymorph listed for this composition, meV per atom: 156.1

PrHo2Tm7: relaxed, PBE.

```
PrHo2Tm7
1.0
6.4537 0.0000 0.0000
0.5912 6.5433 0.0000
2.5015 1.9737 7.3973
Pr Ho Tm
1 2 7
Cartesian
0.0000 0.0000 0.0000 Pr
3.5931 5.3371 5.7496 Ho
5.9533 3.1798 1.6476 Ho
1.2508 0.9868 3.6986 Tm
2.5992 4.1354 2.5385 Tm
3.0734 1.6519 0.4416 Tm
4.5292 2.2590 4.6614 Tm
5.0172 6.2579 2.7359 Tm
6.4730 6.8650 6.9557 Tm
6.9471 4.3816 4.8587 Tm
```

Results
N(E_F), states/eV/cell: 16.80
Mass density, kg/m³: 8789
Energy of formation from the pure elements, kJ/mol of formula units: 92
Volume, Å³ per atom: 31.24
Space group: P-1
Energy relative to the lowest polymorph listed for this composition, meV per atom: 0.0

Pr12HoTm6: relaxed, PBE.

```
Pr12HoTm6
1.0
7.4390 4.2949 3.5166
-7.4390 4.2949 3.5166
0.0000 -8.5898 3.5166
Pr Ho Tm
12 1 6
Cartesian
-1.0743 -5.3586 4.3561 Pr
-5.1778 -1.7489 6.1936 Pr
-2.1606 -2.0892 4.4247 Pr
-4.1035 3.6097 4.3561 Pr
-2.8896 0.8266 6.1249 Pr
-0.7290 2.9157 4.4247 Pr
0.7290 -2.9157 6.1249 Pr
2.8896 -0.8266 4.4247 Pr
4.1035 -3.6097 6.1936 Pr
2.1606 2.0892 6.1250 Pr
5.1778 1.7489 4.3561 Pr
1.0743 5.3586 6.1936 Pr
0.0000 0.0000 0.0000 Ho
-2.8329 0.6622 2.5366 Tm
0.8430 -2.7845 2.5366 Tm
1.9899 2.1223 2.5366 Tm
-1.9899 -2.1223 8.0130 Tm
-0.8430 2.7845 8.0130 Tm
2.8329 -0.6621 8.0130 Tm
```

Results
N(E_F), states/eV/cell: 28.13
Mass density, kg/m³: 7068
Energy of formation from the pure elements, kJ/mol of formula units: 439
Volume, Å³ per atom: 35.48
Space group: R-3
Energy relative to the lowest polymorph listed for this composition, meV per atom: 112.2

Pr3Ho4Tm4: relaxed, PBE.

```
Pr3Ho4Tm4
1.0
10.5862 0.0000 0.0000
0.0000 2.8443 6.0024
0.0000 -2.8443 6.0024
Pr Ho Tm
3 4 4
Cartesian
0.0000 0.0000 0.0000 Pr
3.0769 0.0000 1.8465 Pr
7.5093 0.0000 1.8465 Pr
0.0000 0.0000 8.4233 Ho
2.2838 0.0000 5.9538 Ho
5.2931 0.0000 7.6220 Ho
8.3025 0.0000 5.9538 Ho
0.0000 0.0000 3.6365 Tm
3.1406 0.0000 10.1899 Tm
5.2931 0.0000 4.3381 Tm
7.4456 0.0000 10.1899 Tm
```

Results
N(E_F), states/eV/cell: 16.33
Mass density, kg/m³: 8077
Energy of formation from the pure elements, kJ/mol of formula units: 171
Volume, Å³ per atom: 32.86
Space group: Amm2
Energy relative to the lowest polymorph listed for this composition, meV per atom: 137.1

Pr2Ho3Tm9: relaxed, PBE.

```
Pr2Ho3Tm9
1.0
-1.7748 7.4507 8.3717
1.7748 -7.4507 8.3717
1.7748 7.4507 -8.3717
Pr Ho Tm
2 3 9
Cartesian
0.0000 3.4302 0.0000 Pr
0.0000 11.4713 0.0000 Pr
0.0000 0.0000 3.3170 Ho
0.0000 0.0000 8.3717 Ho
0.0000 0.0000 13.4264 Ho
1.7748 0.0000 0.0000 Tm
1.7748 2.9248 -2.9084 Tm
1.7748 -1.6219 5.9095 Tm
1.7748 2.9248 2.9084 Tm
1.7748 1.6219 5.9095 Tm
0.0000 5.8288 2.4622 Tm
0.0000 4.5260 5.4632 Tm
0.0000 9.0727 2.4622 Tm
0.0000 4.5260 11.2801 Tm
```

Results
N(E_F), states/eV/cell: 19.41
Mass density, kg/m³: 8614
Energy of formation from the pure elements, kJ/mol of formula units: 97
Volume, Å³ per atom: 31.63
Space group: Immm

Pr4HoTm2: relaxed, PBE.

```
Pr4HoTm2
1.0
0.0000 12.1974 3.2404
6.0153 0.0000 3.2404
6.0153 12.1974 0.0000
Pr Ho Tm
8 2 4
Cartesian
2.1658 2.5883 1.4205 Pr
5.1735 3.5104 3.0407 Pr
3.8495 9.6091 1.4205 Pr
6.6380 10.4784 3.2404 Pr
5.3926 13.9163 3.2404 Pr
8.4002 16.5771 4.8606 Pr
6.8571 20.8844 3.0407 Pr
9.6457 20.0150 4.8606 Pr
6.0153 12.1974 0.0231 Ho
3.0076 6.0987 1.6433 Ho
6.3073 6.9158 2.8843 Tm
8.7310 13.0145 4.5045 Tm
5.7233 17.4789 2.8843 Tm
3.2996 11.3802 4.5045 Tm
```

Results
N(E_F), states/eV/cell: 20.21
Mass density, kg/m³: 7448
Energy of formation from the pure elements, kJ/mol of formula units: 43
Volume, Å³ per atom: 33.96
Space group: Fdd2
Energy relative to the lowest polymorph listed for this composition, meV per atom: 0.0

PrHo5Tm2: relaxed, PBE.

```
PrHo5Tm2
1.0
7.0810 0.0000 0.0000
0.0000 14.1683 0.0000
0.0000 0.0000 4.9900
Pr Ho Tm
2 10 4
Cartesian
0.0000 0.0000 0.0000 Pr
3.5405 7.0842 0.0000 Pr
0.0000 7.0842 0.0000 Ho
0.0082 3.5619 0.0000 Ho
1.7567 8.8731 2.4950 Ho
1.7838 1.7889 2.4950 Ho
3.5323 10.6461 0.0000 Ho
3.5405 0.0000 0.0000 Ho
3.5487 3.5223 0.0000 Ho
5.2972 12.3795 2.4950 Ho
5.3244 5.2953 2.4950 Ho
7.0728 10.6065 0.0000 Ho
1.7692 5.2991 2.4950 Tm
1.7713 12.3833 2.4950 Tm
5.3097 1.7851 2.4950 Tm
5.3119 8.8692 2.4950 Tm
```

Results
N(E_F), states/eV/cell: 19.78
Mass density, kg/m³: 8647
Energy of formation from the pure elements, kJ/mol of formula units: 17
Volume, Å³ per atom: 31.29
Space group: Pbam
Energy relative to the lowest polymorph listed for this composition, meV per atom: 0.0

Pr7Ho2Tm: relaxed, PBE.

```
Pr7Ho2Tm
1.0
4.4537 -8.3392 0.0000
4.4537 8.3392 0.0000
0.0000 0.0000 5.6606
Pr Ho Tm
7 2 1
Cartesian
0.0000 0.0000 0.0000 Pr
2.8545 1.8734 0.0000 Pr
4.4537 3.6341 2.8303 Pr
2.8545 -1.8734 0.0000 Pr
6.0528 1.8734 0.0000 Pr
4.4537 -3.6341 2.8303 Pr
6.0528 -1.8734 0.0000 Pr
4.4537 4.9145 0.0000 Ho
4.4537 -4.9145 0.0000 Ho
4.4537 0.0000 2.8303 Tm
```

Results
N(E_F), states/eV/cell: 15.35
Mass density, kg/m³: 5865
Energy of formation from the pure elements, kJ/mol of formula units: 605
Volume, Å³ per atom: 42.05
Space group: Cmmm

PrHo4Tm: relaxed, PBE.

```
PrHo4Tm
1.0
0.0000 4.6427 4.6427
4.6427 0.0000 4.6427
4.6427 4.6427 0.0000
Pr Ho Tm
1 4 1
Cartesian
0.0000 0.0000 0.0000 Pr
3.4847 3.4847 3.4847 Ho
5.8007 5.8007 3.4847 Ho
5.8007 3.4847 5.8007 Ho
3.4847 5.8007 5.8007 Ho
6.9640 6.9640 6.9640 Tm
```

Results
N(E_F), states/eV/cell: 10.82
Mass density, kg/m³: 8044
Energy of formation from the pure elements, kJ/mol of formula units: 158
Volume, Å³ per atom: 33.36
Space group: F-43m
Energy relative to the lowest polymorph listed for this composition, meV per atom: 72.1

Pr4Ho6Tm: relaxed, PBE.

```
Pr4Ho6Tm
1.0
11.0518 0.0000 0.0000
-5.5259 9.5712 0.0000
0.0000 0.0000 3.5683
Pr Ho Tm
4 6 1
Cartesian
0.0000 0.0000 0.0000 Pr
5.5259 0.0297 1.7841 Pr
2.7887 4.7707 1.7841 Pr
8.2631 4.7707 1.7841 Pr
0.0000 3.3482 0.0000 Ho
-2.6263 7.8971 0.0000 Ho
2.5613 1.4787 1.7841 Ho
2.6263 7.8971 0.0000 Ho
8.4906 1.4787 1.7841 Ho
5.5259 6.6137 1.7841 Ho
5.5259 3.1904 0.0000 Tm
```

Results
N(E_F), states/eV/cell: 16.49
Mass density, kg/m³: 7576
Energy of formation from the pure elements, kJ/mol of formula units: 179
Volume, Å³ per atom: 34.31
Space group: P-6m2
Energy relative to the lowest polymorph listed for this composition, meV per atom: 0.0

Pr7Ho12Tm: relaxed, PBE.

```
Pr7Ho12Tm
1.0
-5.6629 5.6629 5.6629
5.6629 -5.6629 5.6629
5.6629 5.6629 -5.6629
Pr Ho Tm
7 12 1
Cartesian
2.8315 2.8315 -2.8315 Pr
2.8315 -2.8315 2.8315 Pr
5.6629 0.0000 0.0000 Pr
-2.8315 2.8315 2.8315 Pr
0.0000 5.6629 0.0000 Pr
0.0000 0.0000 5.6629 Pr
2.8315 2.8315 2.8315 Pr
5.6629 2.8994 -2.8994 Ho
5.6629 -2.8994 2.8994 Ho
2.8994 5.6629 -2.8994 Ho
2.7635 2.7635 0.0000 Ho
2.7635 0.0000 2.7635 Ho
2.8994 -2.8994 5.6629 Ho
0.0000 2.7635 2.7635 Ho
5.6629 2.8994 2.8994 Ho
-2.8994 5.6629 2.8994 Ho
-2.8994 2.8994 5.6629 Ho
2.8994 5.6629 2.8994 Ho
2.8994 2.8994 5.6629 Ho
0.0000 0.0000 0.0000 Tm
```

Results
N(E_F), states/eV/cell: 28.05
Mass density, kg/m³: 7165
Energy of formation from the pure elements, kJ/mol of formula units: 1242
Volume, Å³ per atom: 36.32
Space group: Im-3m
Energy relative to the lowest polymorph listed for this composition, meV per atom: 416.0

Pr2Ho6Tm3: relaxed, PBE.

```
Pr2Ho6Tm3
1.0
-2.3592 2.3592 16.5813
2.3592 -2.3592 16.5813
2.3592 2.3592 -16.5813
Pr Ho Tm
2 6 3
Cartesian
0.0000 0.0000 1.5419 Pr
0.0000 0.0000 31.6207 Pr
2.3592 0.0000 4.0854 Ho
0.0000 0.0000 6.5145 Ho
2.3592 0.0000 12.4959 Ho
0.0000 2.3592 4.0854 Ho
0.0000 0.0000 26.6481 Ho
0.0000 2.3592 12.4959 Ho
0.0000 0.0000 9.9141 Tm
0.0000 0.0000 16.5813 Tm
0.0000 0.0000 23.2485 Tm
```

Results
N(E_F), states/eV/cell: 16.10
Mass density, kg/m³: 7999
Energy of formation from the pure elements, kJ/mol of formula units: 292
Volume, Å³ per atom: 33.56
Space group: I4/mmm
Energy relative to the lowest polymorph listed for this composition, meV per atom: 93.1

Pr7Ho2Tm2: relaxed, PBE.

```
Pr7Ho2Tm2
1.0
5.7482 -5.7894 0.0000
5.7482 5.7894 0.0000
-2.2895 0.0000 5.7114
Pr Ho Tm
7 2 2
Cartesian
0.0000 0.0000 0.0000 Pr
1.7749 3.0992 4.6680 Pr
7.4320 3.0992 1.0435 Pr
4.4385 0.0000 1.1471 Pr
4.7683 0.0000 4.5644 Pr
1.7749 -3.0992 4.6680 Pr
7.4320 -3.0992 1.0435 Pr
1.2496 0.0000 3.3613 Ho
7.9572 0.0000 2.3502 Ho
4.6034 3.3078 2.8557 Tm
4.6034 -3.3078 2.8557 Tm
```

Results
N(E_F), states/eV/cell: 15.16
Mass density, kg/m³: 7225
Energy of formation from the pure elements, kJ/mol of formula units: 143
Volume, Å³ per atom: 34.56
Space group: C2/m
Energy relative to the lowest polymorph listed for this composition, meV per atom: 41.1

Pr2Ho3Tm4: relaxed, PBE.

```
Pr2Ho3Tm4
1.0
8.2773 -5.7921 0.0000
8.2773 5.7921 0.0000
-0.7396 0.0000 5.9404
Pr Ho Tm
4 6 8
Cartesian
5.9724 4.4404 4.2895 Pr
9.4728 4.4404 4.6210 Pr
6.3422 -4.4404 1.3193 Pr
9.8426 -4.4404 1.6509 Pr
8.0924 4.0567 1.4851 Ho
5.2774 1.7332 2.4394 Ho
4.9077 -1.7332 5.4096 Ho
10.9073 1.7332 0.5307 Ho
10.5375 -1.7332 3.5009 Ho
7.7226 -4.0567 4.4553 Ho
3.2329 1.2764 5.1520 Tm
6.5651 1.2405 5.6825 Tm
3.6027 -1.2764 2.1818 Tm
8.8801 1.2405 3.2281 Tm
6.9349 -1.2405 2.7123 Tm
12.2123 1.2764 3.7585 Tm
9.2499 -1.2405 0.2579 Tm
12.5821 -1.2764 0.7884 Tm
```

Results
N(E_F), states/eV/cell: 26.33
Mass density, kg/m³: 8468
Energy of formation from the pure elements, kJ/mol of formula units: 88
Volume, Å³ per atom: 31.64
Space group: C2/c
Energy relative to the lowest polymorph listed for this composition, meV per atom: 11.6